(1)
The following is a PBE calculation of crystalline Na3DyHo2Te6 at its relaxed geometry, from Alexandria.

M_tot (μB per atom): 0.000
Calculated volume (A^3/atom): 31.95
Uncorrected formation energy (meV/atom): -1312

a = 7.6494 Å, b = 13.2505 Å, c = 7.9843 Å
α = 90.00°, β = 108.63°, γ = 90.00°
Last column: nearest neighbours and their distance in Å.
Space group C2/m (No. 12)
Symmetry-distinct sites (fractional):
Na 0.0000 0.0000 0.0000 x2  6 Te 3.26
Na 0.0000 0.3333 0.0000 x4  6 Te 3.26
Dy 0.0000 0.5000 0.5000 x2  6 Te 3.10
Ho 0.0000 0.1667 0.5000 x4  6 Te 3.09
Te 0.2429 0.0000 0.7314 x4  2 Ho 3.09, 1 Dy 3.10, 3 Na 3.26
Te 0.2442 0.3329 0.7313 x8  2 Ho 3.09, 1 Dy 3.10, 3 Na 3.26

(2)
The following is a PBE calculation of crystalline Na3DyHo3Te8 at its relaxed geometry, from Alexandria.

M_tot (μB per atom): 0.000
Calculated volume (A^3/atom): 33.60
Uncorrected formation energy (meV/atom): -1247

a = 8.7010 Å, b = 8.7010 Å, c = 23.0560 Å
α = 90.00°, β = 90.00°, γ = 120.00°
Last column: nearest neighbours and their distance in Å.
Space group R-3m (No. 166, hexagonal axes)
Symmetry-distinct sites (fractional):
Na 0.0000 0.5000 0.0000 x9  6 Te 3.25-3.26
Dy 0.0000 0.0000 0.5000 x3  6 Te 3.10
Ho 0.0000 0.5000 0.5000 x9  6 Te 3.07-3.08
Te 0.0000 0.0000 0.2440 x6  3 Ho 3.08, 3 Na 3.25
Te 0.0034 0.5017 0.7562 x18  2 Ho 3.07, 1 Dy 3.10, 2 Na 3.26

(3)
The following is a PBE calculation of crystalline Na4DyHo3Te8 at its relaxed geometry, from Alexandria.

M_tot (μB per atom): 0.000
Calculated volume (A^3/atom): 31.94
Uncorrected formation energy (meV/atom): -1312

a = 8.8318 Å, b = 8.8318 Å, c = 22.6936 Å
α = 90.00°, β = 90.00°, γ = 120.00°
Last column: nearest neighbours and their distance in Å.
Space group R-3m (No. 166, hexagonal axes)
Symmetry-distinct sites (fractional):
Na 0.0000 0.0000 0.0000 x3  6 Te 3.26
Na 0.0000 0.5000 0.0000 x9  6 Te 3.26
Dy 0.0000 0.0000 0.5000 x3  6 Te 3.10
Ho 0.0000 0.5000 0.5000 x9  6 Te 3.09
Te 0.0000 0.0000 0.2436 x6  3 Ho 3.09, 3 Na 3.26
Te 0.0008 0.5004 0.7562 x18  2 Ho 3.09, 1 Dy 3.10, 3 Na 3.26

(4)
The following is a PBE calculation of crystalline Na2Dy3HoTe6 at its relaxed geometry, from Alexandria.

M_tot (μB per atom): 0.000
Calculated volume (A^3/atom): 30.20
Uncorrected formation energy (meV/atom): -1301

a = 7.5922 Å, b = 13.1360 Å, c = 7.6918 Å
α = 90.00°, β = 109.14°, γ = 90.00°
Last column: nearest neighbours and their distance in Å.
Space group C2/m (No. 12)
Symmetry-distinct sites (fractional):
Na 0.0000 0.1656 0.0000 x4  6 Te 3.13-3.15
Dy 0.0000 0.0000 0.5000 x2  6 Te 3.09-3.12
Dy 0.0000 0.3306 0.5000 x4  6 Te 3.09-3.11
Ho 0.0000 0.5000 0.0000 x2  6 Te 3.10-3.11
Te 0.2428 0.5000 0.7441 x4  3 Dy 3.10-3.12, 1 Ho 3.11, 2 Na 3.15
Te 0.2483 0.3355 0.2517 x8  3 Dy 3.09-3.11, 1 Ho 3.10, 2 Na 3.13-3.14

(5)
The following is a PBE calculation of crystalline Na2DyHo3Te6 at its relaxed geometry, from Alexandria.

M_tot (μB per atom): 0.000
Calculated volume (A^3/atom): 30.08
Uncorrected formation energy (meV/atom): -1294

a = 7.5805 Å, b = 13.1161 Å, c = 7.6861 Å
α = 90.00°, β = 109.13°, γ = 90.00°
Last column: nearest neighbours and their distance in Å.
Space group C2/m (No. 12)
Symmetry-distinct sites (fractional):
Na 0.0000 0.1657 0.0000 x4  6 Te 3.14-3.15
Dy 0.0000 0.5000 0.0000 x2  6 Te 3.11-3.12
Ho 0.0000 0.0000 0.5000 x2  6 Te 3.09-3.11
Ho 0.0000 0.3310 0.5000 x4  6 Te 3.08-3.09
Te 0.2433 0.5000 0.7425 x4  3 Ho 3.09-3.11, 1 Dy 3.12, 2 Na 3.15
Te 0.2495 0.3350 0.2537 x8  3 Ho 3.08-3.09, 1 Dy 3.11, 2 Na 3.14-3.15

(6)
The following is a PBE calculation of crystalline Na4Dy3HoTe8 at its relaxed geometry, from Alexandria.

M_tot (μB per atom): 0.000
Calculated volume (A^3/atom): 32.05
Uncorrected formation energy (meV/atom): -1315

a = 8.8461 Å, b = 8.8461 Å, c = 22.6984 Å
α = 90.00°, β = 90.00°, γ = 120.00°
Last column: nearest neighbours and their distance in Å.
Space group R-3m (No. 166, hexagonal axes)
Symmetry-distinct sites (fractional):
Na 0.0000 0.0000 0.0000 x3  6 Te 3.27
Na 0.0000 0.5000 0.0000 x9  6 Te 3.26
Dy 0.0000 0.5000 0.5000 x9  6 Te 3.10
Ho 0.0000 0.0000 0.5000 x3  6 Te 3.09
Te 0.0000 0.0000 0.2440 x6  3 Dy 3.10, 3 Na 3.26
Te 0.0009 0.5005 0.2439 x18  1 Ho 3.09, 2 Dy 3.10, 3 Na 3.26-3.27

(7)
The following is a PBE calculation of crystalline DyHo2Nb at its relaxed geometry, from Alexandria.

ΔH_f (0 K) (meV/atom): 522
M_tot (μB per atom): 0.000
Calculated volume (A^3/atom): 26.98

a = 3.2868 Å, b = 3.2868 Å, c = 34.6093 Å
α = 90.00°, β = 90.00°, γ = 120.00°
Last column: nearest neighbours and their distance in Å.
Space group R-3m (No. 166, hexagonal axes)
Symmetry-distinct sites (fractional):
Dy 0.0000 0.0000 0.0000 x3  6 Dy 3.29, 6 Ho 3.45
Ho 0.0000 0.0000 0.4165 x6  1 Nb 2.89
Nb 0.0000 0.0000 0.5000 x3  2 Ho 2.89

(8)
The following is a PBE calculation of crystalline DyHoNb4 at its relaxed geometry, from Alexandria.

ΔH_f (0 K) (meV/atom): 177
M_tot (μB per atom): 0.000
Calculated volume (A^3/atom): 22.03

a = 8.0865 Å, b = 8.0865 Å, c = 8.0865 Å
α = 90.00°, β = 90.00°, γ = 90.00°
Last column: nearest neighbours and their distance in Å.
Space group F-43m (No. 216)
Symmetry-distinct sites (fractional):
Dy 0.0000 0.0000 0.0000 x4  12 Nb 3.35, 4 Ho 3.50
Ho 0.2500 0.2500 0.7500 x4  12 Nb 3.35, 4 Dy 3.50
Nb 0.1250 0.1250 0.3750 x16  6 Nb 2.86

(9)
The following is a PBE calculation of crystalline Dy2HoNb at its relaxed geometry, from Alexandria.

ΔH_f (0 K) (meV/atom): 523
M_tot (μB per atom): 0.000
Calculated volume (A^3/atom): 27.08

a = 3.2934 Å, b = 3.2934 Å, c = 34.5940 Å
α = 90.00°, β = 90.00°, γ = 120.00°
Last column: nearest neighbours and their distance in Å.
Space group R-3m (No. 166, hexagonal axes)
Symmetry-distinct sites (fractional):
Dy 0.0000 0.0000 0.0836 x6  1 Nb 2.89
Ho 0.0000 0.0000 0.5000 x3  6 Ho 3.29, 6 Dy 3.45
Nb 0.0000 0.0000 0.0000 x3  2 Dy 2.89

(10)
The following is a PBE calculation of crystalline Nd5Dy2Ho2 at its relaxed geometry, from Alexandria.

Distance to the lowest polymorph of the same formula (eV per atom): 0.0000
ΔH_f (0 K) (meV/atom): 18
M_tot (μB per atom): 0.000
Calculated volume (A^3/atom): 33.44

a = 11.4511 Å, b = 5.1139 Å, c = 10.8359 Å
α = 90.00°, β = 108.43°, γ = 90.00°
Last column: nearest neighbours and their distance in Å.
Space group C2/m (No. 12)
Symmetry-distinct sites (fractional):
Nd 0.0000 0.0000 0.0000 x2  2 Dy 3.61, 6 Nd 3.61-3.63, 4 Ho 3.63
Nd 0.1663 0.5000 0.5548 x4  3 Ho 3.59-3.61, 5 Dy 3.61-3.62, 4 Nd 3.61-3.62
Nd 0.1655 0.5000 0.8878 x4  2 Dy 3.61, 6 Nd 3.61-3.64, 4 Ho 3.62-3.63
Dy 0.0004 0.0000 0.3334 x4  8 Nd 3.61-3.62, 1 Dy 3.61, 3 Ho 3.61
Ho 0.1677 0.5000 0.2238 x4  9 Nd 3.59-3.63, 3 Dy 3.61

(11)
The following is a PBE calculation of crystalline Nd4Dy8Ho3 at its relaxed geometry, from Alexandria.

Distance to the lowest polymorph of the same formula (eV per atom): 0.2470
ΔH_f (0 K) (meV/atom): 366
M_tot (μB per atom): 0.000
Calculated volume (A^3/atom): 33.64

a = 13.4305 Å, b = 12.8264 Å, c = 6.7678 Å
α = 90.00°, β = 120.06°, γ = 90.00°
Last column: nearest neighbours and their distance in Å.
Space group C2/m (No. 12)
Symmetry-distinct sites (fractional):
Nd 0.0000 0.0000 0.0000 x2  6 Dy 3.28-3.53, 2 Nd 3.38
Nd 0.0000 0.0000 0.5000 x2  2 Nd 3.38, 4 Dy 3.54-3.64
Nd 0.2500 0.2500 0.0000 x4  4 Dy 3.22-3.36, 2 Ho 3.38
Dy 0.0000 0.2557 0.0000 x4  3 Ho 3.13-3.37, 3 Nd 3.28-3.36
Dy 0.0000 0.3615 0.5000 x4  7 Dy 3.55-3.65, 4 Ho 3.65-3.82, 2 Nd 3.66
Dy 0.2288 0.5000 0.9605 x4  1 Ho 3.21, 3 Nd 3.22-3.52, 4 Dy 3.24-3.57
Dy 0.2330 0.5000 0.4866 x4  3 Ho 3.21, 2 Dy 3.24-3.53, 2 Nd 3.53-3.54
Ho 0.0000 0.5000 0.0000 x2  6 Dy 3.13-3.21
Ho 0.2500 0.2500 0.5000 x4  4 Dy 3.21-3.37, 2 Nd 3.38

(12)
The following is a PBE calculation of crystalline Nd12Dy6Ho at its relaxed geometry, from Alexandria.

Distance to the lowest polymorph of the same formula (eV per atom): 0.1030
ΔH_f (0 K) (meV/atom): 236
M_tot (μB per atom): 0.000
Calculated volume (A^3/atom): 35.26

a = 14.8680 Å, b = 14.8680 Å, c = 10.4979 Å
α = 90.00°, β = 90.00°, γ = 120.00°
Last column: nearest neighbours and their distance in Å.
Space group R-3 (No. 148, hexagonal axes)
Symmetry-distinct sites (fractional):
Nd 0.0525 0.2525 0.0784 x18  5 Dy 3.40-3.70, 5 Nd 3.41-3.81, 1 Ho 3.53
Nd 0.0649 0.2278 0.4198 x18  4 Dy 3.38-3.77, 6 Nd 3.41-3.62
Dy 0.0499 0.2120 0.7591 x18  9 Nd 3.38-3.77
Ho 0.0000 0.0000 0.0000 x3  6 Nd 3.53, 6 Dy 3.81